6
Lattice="5.117 0.000 0.000 -0.430 5.431 0.000 -1.548 -0.703 5.868" Properties=species:S:1:pos:R:3 comment="GGA-PBE IClF, optimized geometry" e_form_raw_ev_per_atom=-0.5999 energy_ha_per_atom=-0.0866 relative_energy_mev_per_atom=71.0 pbc="T T T"
I -0.099 0.212 1.573
I 3.238 4.516 4.295
Cl -0.117 2.873 4.581
Cl 3.256 1.855 1.286
F 0.914 4.225 1.754
F 2.225 0.503 4.114

6
Lattice="5.263 0.000 0.000 -0.216 5.840 0.000 -1.568 -0.122 6.711" Properties=species:S:1:pos:R:3 comment="GGA-PBE IClF, optimized geometry" e_form_raw_ev_per_atom=-0.6569 energy_ha_per_atom=-0.0887 relative_energy_mev_per_atom=14.0 pbc="T T T"
I 0.000 0.000 0.000
I 0.166 1.481 4.763
Cl 1.290 2.824 3.116
Cl 1.991 1.893 6.651
F 1.169 4.385 0.042
F 4.047 1.048 3.415

12
Lattice="8.850 -2.575 0.000 8.850 2.575 0.000 -2.319 0.000 8.877" Properties=species:S:1:pos:R:3 comment="GGA-PBE K3IClF, optimized geometry" e_form_raw_ev_per_atom=-1.9950 energy_ha_per_atom=-0.1257 pbc="T T T"
K -0.606 0.000 2.500
K 4.576 0.000 5.812
K 5.785 0.000 1.802
K 9.596 0.000 7.075
K 10.805 0.000 3.065
K 15.986 0.000 6.377
I 2.457 0.000 0.629
I 12.924 0.000 8.249
Cl 1.386 0.000 5.079
Cl 13.994 0.000 3.798
F 7.121 0.000 6.339
F 8.260 0.000 2.538

12
Lattice="7.810 -3.901 0.000 7.810 3.901 0.000 -0.133 0.000 4.714" Properties=species:S:1:pos:R:3 comment="GGA-PBE K3ICl2F6, optimized geometry" e_form_raw_ev_per_atom=-1.9216 energy_ha_per_atom=-0.1311 pbc="T T T"
K 0.000 0.000 0.000
K 3.839 1.951 2.357
K 3.839 -1.951 2.357
I 7.744 0.000 2.357
Cl 2.883 0.000 4.579
Cl 12.605 0.000 0.135
F 6.936 1.479 3.466
F 8.552 1.479 1.247
F 5.998 0.000 1.362
F 9.489 0.000 3.352
F 6.936 -1.479 3.466
F 8.552 -1.479 1.247

4
Lattice="2.129 1.229 7.776 -2.129 1.229 7.776 0.000 -2.458 7.776" Properties=species:S:1:pos:R:3 comment="GGA-PBE LaIClF, optimized geometry" e_form_raw_ev_per_atom=-2.7144 energy_ha_per_atom=-0.1934 pbc="T T T"
La 0.000 0.000 0.000
I 0.000 0.000 13.277
Cl 0.000 0.000 17.269
F 0.000 0.000 7.783

4
Lattice="2.088 1.206 7.786 -2.088 1.206 7.786 0.000 -2.411 7.786" Properties=species:S:1:pos:R:3 comment="GGA-PBE NdIClF, optimized geometry" e_form_raw_ev_per_atom=-2.6085 energy_ha_per_atom=-0.1881 pbc="T T T"
Nd 0.000 0.000 0.000
I 0.000 0.000 10.038
Cl 0.000 0.000 6.075
F 0.000 0.000 15.561

4
Lattice="2.092 1.208 7.701 -2.092 1.208 7.701 0.000 -2.416 7.701" Properties=species:S:1:pos:R:3 comment="GGA-PBE NpIClF, optimized geometry" e_form_raw_ev_per_atom=-2.0306 energy_ha_per_atom=-0.2419 pbc="T T T"
Np 0.000 0.000 0.000
I 0.000 0.000 13.164
Cl 0.000 0.000 17.100
F 0.000 0.000 7.695

32
Lattice="12.970 0.000 0.000 0.000 7.304 0.000 -0.528 0.000 8.342" Properties=species:S:1:pos:R:3 comment="GGA-PBE IClOF, optimized geometry" e_form_raw_ev_per_atom=-0.6508 energy_ha_per_atom=-0.1179 pbc="T T T"
I 1.023 0.792 1.416
I 0.759 2.860 5.587
I 3.123 0.401 7.119
I 3.387 3.251 2.948
I 9.055 4.053 5.393
I 9.319 6.903 1.222
I 11.684 4.444 2.754
I 11.420 6.512 6.925
Cl 4.152 5.265 3.951
Cl 3.888 5.691 8.122
Cl 5.128 0.779 5.895
Cl 5.392 2.873 1.724
Cl 7.050 4.431 6.617
Cl 7.314 6.524 2.447
Cl 8.554 1.613 0.219
Cl 8.290 2.039 4.390
O 0.906 0.223 8.047
O 1.170 3.429 3.876
O 2.680 1.133 2.098
O 2.416 2.519 6.269
O 10.027 4.785 2.073
O 9.763 6.171 6.243
O 11.272 3.875 4.466
O 11.536 7.081 0.295
F 0.691 1.013 4.850
F 0.955 2.639 0.679
F 0.946 4.738 6.160
F 1.210 6.217 1.990
F 11.232 1.086 6.352
F 11.496 2.565 2.181
F 11.488 4.665 7.663
F 11.752 6.291 3.492

12
Lattice="6.440 -3.806 0.000 6.440 3.806 0.000 -0.688 0.000 5.615" Properties=species:S:1:pos:R:3 comment="GGA-PBE PI2Cl3F6, optimized geometry" e_form_raw_ev_per_atom=-1.4566 energy_ha_per_atom=-0.1309 pbc="T T T"
P 0.000 0.000 0.000
I 3.920 0.000 1.408
I 8.272 0.000 4.207
Cl 2.876 1.903 2.807
Cl 2.876 -1.903 2.807
Cl 6.096 0.000 2.807
F 0.388 0.000 1.571
F 5.300 2.638 0.273
F 6.892 2.638 5.341
F 5.300 -2.638 0.273
F 6.892 -2.638 5.341
F 11.803 0.000 4.044

5
Lattice="5.417 0.000 0.000 0.000 5.417 0.000 0.000 0.000 5.307" Properties=species:S:1:pos:R:3 comment="GGA-PBE P2IClF, optimized geometry" e_form_raw_ev_per_atom=1.0294 energy_ha_per_atom=-0.0804 relative_energy_mev_per_atom=366.3 pbc="T T T"
P 0.000 2.709 0.000
P 2.709 0.000 0.000
I 0.000 0.000 0.000
Cl 0.000 0.000 2.654
F 2.709 2.709 2.654

5
Lattice="4.295 0.000 0.000 0.000 4.295 0.000 0.000 0.000 5.745" Properties=species:S:1:pos:R:3 comment="GGA-PBE P2IClF, optimized geometry" e_form_raw_ev_per_atom=0.6631 energy_ha_per_atom=-0.0939 relative_energy_mev_per_atom=0.0 pbc="T T T"
P 0.000 2.147 0.000
P 2.147 0.000 0.000
I 0.000 0.000 2.873
Cl 2.147 2.147 2.873
F 2.147 2.147 0.000

5
Lattice="4.352 0.000 0.000 0.000 4.352 0.000 0.000 0.000 5.222" Properties=species:S:1:pos:R:3 comment="GGA-PBE PtIClF2, optimized geometry" e_form_raw_ev_per_atom=-0.2568 energy_ha_per_atom=-0.1063 pbc="T T T"
Pt 0.000 0.000 0.000
I 0.000 0.000 2.611
Cl 2.176 2.176 0.000
F 0.000 2.176 2.611
F 2.176 0.000 2.611

16
Lattice="6.873 -6.842 0.000 6.873 6.842 0.000 -6.756 0.000 6.878" Properties=species:S:1:pos:R:3 comment="GGA-PBE Rb4I2ClF, optimized geometry" e_form_raw_ev_per_atom=-1.8343 energy_ha_per_atom=-0.1165 pbc="T T T"
Rb -0.199 0.117 3.197
Rb -3.577 -0.117 6.636
Rb 3.374 3.755 3.562
Rb 0.238 3.755 6.755
Rb 6.752 -3.755 0.123
Rb 3.616 -3.755 3.316
Rb 10.567 0.117 0.242
Rb 7.188 -0.117 3.681
I 3.436 3.421 0.000
I 0.058 -3.421 3.439
I 6.873 0.000 0.000
I 3.495 0.000 3.439
Cl 0.058 3.421 3.439
Cl 3.436 -3.421 0.000
F 0.000 0.000 0.000
F -3.378 0.000 3.439

12
Lattice="9.271 -2.718 0.000 9.271 2.718 0.000 -2.310 0.000 9.244" Properties=species:S:1:pos:R:3 comment="GGA-PBE Rb3IClF, optimized geometry" e_form_raw_ev_per_atom=-1.9796 energy_ha_per_atom=-0.1228 pbc="T T T"
Rb -0.591 0.000 2.586
Rb 4.842 0.000 6.082
Rb 6.079 0.000 1.896
Rb 10.153 0.000 7.348
Rb 11.390 0.000 3.162
Rb 16.823 0.000 6.658
I 2.605 0.000 0.626
I 13.627 0.000 8.618
Cl 1.515 0.000 5.266
Cl 14.718 0.000 3.978
F 7.528 0.000 6.617
F 8.705 0.000 2.627

10
Lattice="-4.232 4.232 5.716 4.232 -4.232 5.716 4.232 4.232 -5.716" Properties=species:S:1:pos:R:3 comment="GGA-PBE Rb2I6ClF, optimized geometry" e_form_raw_ev_per_atom=-0.5477 energy_ha_per_atom=-0.0751 pbc="T T T"
Rb 4.232 0.000 2.858
Rb 0.000 4.232 2.858
I 0.000 0.000 2.323
I 2.276 2.276 0.000
I 1.956 -1.956 5.716
I -1.956 1.956 5.716
I 1.956 1.956 5.716
I 0.000 0.000 9.110
Cl 0.000 0.000 5.716
F 0.000 0.000 0.000

5
Lattice="4.879 0.000 0.000 0.000 4.879 0.000 0.000 0.000 5.526" Properties=species:S:1:pos:R:3 comment="GGA-PBE Sb2IClF, optimized geometry" e_form_raw_ev_per_atom=-0.0178 energy_ha_per_atom=-0.1000 relative_energy_mev_per_atom=0.0 pbc="T T T"
Sb 0.000 2.440 0.000
Sb 2.440 0.000 0.000
I 0.000 0.000 2.763
Cl 2.440 2.440 2.763
F 0.000 0.000 0.000

40
Lattice="5.467 -6.173 0.000 5.467 6.173 0.000 0.000 0.000 13.199" Properties=species:S:1:pos:R:3 comment="GGA-PBE SbICl2F6, optimized geometry" e_form_raw_ev_per_atom=-1.6337 energy_ha_per_atom=-0.1357 pbc="T T T"
Sb 5.467 3.599 12.397
Sb 5.467 2.573 5.797
Sb 5.467 -2.573 7.402
Sb 5.467 -3.599 0.803
I 2.734 1.129 9.900
I 2.734 -1.129 3.300
I 8.201 1.129 9.900
I 8.201 -1.129 3.300
Cl 1.771 0.388 4.737
Cl 1.771 -0.388 8.462
Cl 3.696 0.388 1.862
Cl 3.696 -0.388 11.337
Cl 7.238 0.388 1.862
Cl 7.238 -0.388 11.337
Cl 9.164 0.388 4.737
Cl 9.164 -0.388 8.462
F 4.087 4.185 0.374
F 5.467 5.251 11.445
F 4.112 3.231 4.542
F 4.112 2.942 11.142
F 5.467 4.305 6.619
F 4.087 1.988 6.974
F 6.847 4.185 0.374
F 5.467 1.868 0.019
F 6.822 3.231 4.542
F 6.822 2.942 11.142
F 5.467 0.922 4.846
F 6.847 1.988 6.974
F 4.087 -1.988 6.226
F 5.467 -0.922 8.354
F 4.112 -2.942 2.057
F 4.112 -3.231 8.657
F 5.467 -1.868 13.180
F 4.087 -4.185 12.826
F 6.847 -1.988 6.226
F 5.467 -4.305 6.581
F 6.822 -2.942 2.057
F 6.822 -3.231 8.657
F 5.467 -5.251 1.754
F 6.847 -4.185 12.826

5
Lattice="4.402 0.000 0.000 0.000 4.402 0.000 0.000 0.000 6.518" Properties=species:S:1:pos:R:3 comment="GGA-PBE Tc2IClF, optimized geometry" e_form_raw_ev_per_atom=1.2177 energy_ha_per_atom=-0.1463 pbc="T T T"
Tc 0.000 2.201 0.000
Tc 2.201 0.000 0.000
I 0.000 0.000 3.259
Cl 0.000 0.000 0.000
F 2.201 2.201 3.259

5
Lattice="5.758 0.000 0.000 0.000 5.758 0.000 0.000 0.000 4.199" Properties=species:S:1:pos:R:3 comment="GGA-PBE TcI2ClF, optimized geometry" e_form_raw_ev_per_atom=0.7534 energy_ha_per_atom=-0.0986 pbc="T T T"
Tc 0.000 0.000 0.000
I 0.000 2.879 2.100
I 2.879 0.000 2.100
Cl 2.879 2.879 2.100
F 2.879 2.879 0.000

16
Lattice="6.536 -6.669 0.000 6.536 6.669 0.000 -6.506 0.000 6.543" Properties=species:S:1:pos:R:3 comment="GGA-PBE Tl4ICl2F, optimized geometry" e_form_raw_ev_per_atom=-1.0578 energy_ha_per_atom=-0.1150 pbc="T T T"
Tl 11.566 0.000 1.515
Tl -4.998 0.000 5.028
Tl -1.491 2.678 5.041
Tl 1.760 2.426 1.768
Tl 8.058 2.678 1.502
Tl 4.807 2.426 4.775
Tl 4.791 -1.575 1.756
Tl 1.776 -1.575 4.787
I -1.609 -0.781 4.908
I 8.176 -0.781 1.634
Cl 4.911 2.556 1.635
Cl 1.656 2.556 4.908
Cl 1.644 -0.781 1.637
Cl 4.924 -0.781 4.905
F 4.914 -4.122 1.631
F 1.653 -4.122 4.911